Record 1
## La8GeP3Cl4 (GGA-PBE)

Data for crystalline La8GeP3Cl4 at its relaxed geometry.

Computed properties:
- E_form (uncorrected): -1.6230 eV/atom
- Spin magnetization: 0.000 μB per formula unit

abc: 8.5757 8.5757 8.5757
angles: 59.55 59.55 59.55
Closest atoms and distances in Å follow each position.
Atoms (fractional coordinates):
La 0.2341 0.7457 0.7457  2 P 2.90, 1 Ge 2.97, 3 Cl 3.08-3.15
La 0.2400 0.2400 0.2400  3 P 2.90, 3 Cl 3.15
La 0.2543 0.2543 0.7659  2 P 2.90, 1 Ge 2.97, 3 Cl 3.08-3.15
La 0.2543 0.7659 0.2543  2 P 2.90, 1 Ge 2.97, 3 Cl 3.08-3.15
La 0.7457 0.2341 0.7457  2 P 2.90, 1 Ge 2.97, 3 Cl 3.08-3.15
La 0.7457 0.7457 0.2341  2 P 2.90, 1 Ge 2.97, 3 Cl 3.08-3.15
La 0.7600 0.7600 0.7600  3 P 2.90, 3 Cl 3.15
La 0.7659 0.2543 0.2543  2 P 2.90, 1 Ge 2.97, 3 Cl 3.08-3.15
Ge 0.5000 0.5000 0.5000  6 La 2.97
P 0.0000 0.0000 0.5000  6 La 2.90
P 0.0000 0.5000 0.0000  6 La 2.90
P 0.5000 0.0000 0.0000  6 La 2.90
Cl 0.0000 0.0000 0.0000  6 La 3.08
Cl 0.0000 0.5000 0.5000  6 La 3.15
Cl 0.5000 0.0000 0.5000  6 La 3.15
Cl 0.5000 0.5000 0.0000  6 La 3.15

Record 2
## La6GeP3Cl2 (GGA-PBE)

Data for crystalline La6GeP3Cl2 at its relaxed geometry.

Computed properties:
- E_form (uncorrected): -1.5956 eV/atom
- Spin magnetization: 0.000 μB per formula unit

abc: 7.3807 7.3807 7.4807
angles: 99.48 99.48 119.98
Closest atoms and distances in Å follow each position.
Atoms (fractional coordinates):
La 0.0897 0.4149 0.7692  3 P 2.93-2.99, 1 Ge 3.06, 2 Cl 3.13
La 0.2361 0.2361 0.2324  3 P 2.94-3.01, 1 Ge 3.06, 2 Cl 3.13
La 0.4149 0.0897 0.7692  3 P 2.93-2.99, 1 Ge 3.06, 2 Cl 3.13
La 0.5851 0.9103 0.2308  3 P 2.93-2.99, 1 Ge 3.06, 2 Cl 3.13
La 0.7639 0.7639 0.7676  3 P 2.94-3.01, 1 Ge 3.06, 2 Cl 3.13
La 0.9103 0.5851 0.2308  3 P 2.93-2.99, 1 Ge 3.06, 2 Cl 3.13
Ge 0.0000 0.0000 0.5000  6 La 3.06
P 0.1677 0.8323 0.0000  6 La 2.93-2.99
P 0.5000 0.5000 0.0000  6 La 2.93-3.01
P 0.8323 0.1677 0.0000  6 La 2.93-2.99
Cl 0.3334 0.6666 0.5000  6 La 3.13
Cl 0.6666 0.3334 0.5000  6 La 3.13

E_form (uncorrected) of number 1 (La8GeP3Cl4)? -1.6230 eV/atom

Among the records above, which one has the highest E_form (uncorrected)? La6GeP3Cl2